Computed, not measured: a relaxed MnPdCl4 crystal at the PBE-GGA level of DFT.

Calculated total energy ... -4.27 eV/atom
Total magnetization ... 7.00 μB/f.u.
D(E_F) ... 0.036 states/eV per atom
Energy relative to the elements, uncorrected ... -0.6500 eV per atom

a = 6.4536 Å, b = 6.4536 Å, c = 7.3536 Å
α = 89.98°, β = 89.98°, γ = 67.87°
Atoms (fractional coordinates):
Cl: 0.7419 0.2299 0.5001
Cl: 0.2373 0.2369 0.7499
Mn: 0.0000 0.5000 0.0000
Mn: 0.5000 0.0000 0.5000
Cl: 0.7627 0.7631 0.2501
Cl: 0.2369 0.2373 0.2499
Cl: 0.2581 0.7701 0.4999
Pd: 0.9998 0.0002 0.2500
Cl: 0.2299 0.7419 0.0001
Cl: 0.7701 0.2581 0.9999
Cl: 0.7631 0.7627 0.7501
Pd: 0.0002 0.9998 0.7500


Computed, not measured: a relaxed Tb9Sm2Er3 crystal at the PBE-GGA level of DFT.

Calculated total energy ... -4.32 eV/atom
Total magnetization ... 0.00 μB/f.u.
D(E_F) ... 1.290 states/eV per atom
Energy relative to the elements ... 0.311 eV/atom

a = 5.3418 Å, b = 12.7628 Å, c = 12.7628 Å
α = 47.25°, β = 51.08°, γ = 51.08°
Atoms (fractional coordinates):
Sm: 0.5000 0.2357 0.7643
Tb: 0.0000 0.5000 0.5000
Tb: 0.6251 0.9009 0.3487
Er: 0.9758 0.1747 0.1747
Tb: 0.0851 0.4568 0.1537
Sm: 0.5000 0.7643 0.2357
Tb: 0.3749 0.6513 0.0991
Tb: 0.3749 0.0991 0.6513
Er: 0.0000 0.0000 0.0000
Tb: 0.9149 0.8463 0.5432
Tb: 0.0851 0.1537 0.4568
Tb: 0.6251 0.3487 0.9009
Er: 0.0242 0.8253 0.8253
Tb: 0.9149 0.5432 0.8463


Computed, not measured: a relaxed ThZrCuRe crystal at the PBE-GGA level of DFT.

Calculated total energy ... -8.14 eV/atom
Total magnetization ... 0.00 μB/f.u.
D(E_F) ... 1.497 states/eV per atom
Energy relative to the elements ... -0.012 eV/atom

a = 4.8731 Å, b = 4.8731 Å, c = 4.8731 Å
α = 60.00°, β = 60.00°, γ = 60.00°
Atoms (fractional coordinates):
Zr: 0.5000 0.5000 0.5000
Cu: 0.2500 0.2500 0.2500
Re: 0.7500 0.7500 0.7500
Th: 0.0000 0.0000 0.0000


Computed, not measured: a relaxed Sm2Y3Ho6In crystal at the PBE-GGA level of DFT.

Calculated total energy ... -4.97 eV/atom
Total magnetization ... 0.00 μB/f.u.
D(E_F) ... 1.361 states/eV per atom
Energy relative to the elements ... -0.047 eV/atom

a = 6.0916 Å, b = 6.0916 Å, c = 11.6870 Å
α = 94.99°, β = 94.99°, γ = 120.03°
Atoms (fractional coordinates):
Ho: 0.9175 0.5896 0.7522
Sm: 0.6663 0.3337 0.0000
Y: 0.1665 0.8335 0.5000
Ho: 0.7550 0.7550 0.2486
Y: 0.8335 0.1665 0.5000
Sm: 0.3337 0.6663 0.0000
Ho: 0.0825 0.4104 0.2478
Y: 0.5000 0.5000 0.5000
Ho: 0.5896 0.9175 0.7522
In: 0.0000 0.0000 0.0000
Ho: 0.4104 0.0825 0.2478
Ho: 0.2450 0.2450 0.7514


Computed, not measured: a relaxed TmSn2P2Pt7 crystal at the PBE-GGA level of DFT.

Calculated total energy ... -6.19 eV/atom
Total magnetization ... 0.00 μB/f.u.
D(E_F) ... 0.260 states/eV per atom
Energy relative to the elements ... -0.725 eV/atom

a = 3.9307 Å, b = 3.9307 Å, c = 15.2846 Å
α = 82.58°, β = 82.58°, γ = 89.97°
Atoms (fractional coordinates):
P: 0.6173 0.6173 0.7653
Pt: 0.3068 0.3068 0.3884
Pt: 0.6932 0.6932 0.6116
Pt: 0.9269 0.4266 0.1459
Tm: 0.0000 0.0000 0.0000
P: 0.3827 0.3827 0.2347
Pt: 0.0731 0.5734 0.8541
Sn: 0.7877 0.7877 0.4250
Pt: 0.5734 0.0731 0.8541
Pt: 0.4266 0.9269 0.1459
Sn: 0.2123 0.2123 0.5750
Pt: 0.5000 0.5000 0.0000


Computed, not measured: a relaxed Pr3Zn4Ga crystal at the PBE-GGA level of DFT.

Calculated total energy ... -2.99 eV/atom
Total magnetization ... 0.00 μB/f.u.
D(E_F) ... 0.495 states/eV per atom
Energy relative to the elements ... -0.178 eV/atom

a = 4.8104 Å, b = 4.9279 Å, c = 9.2736 Å
α = 105.41°, β = 105.03°, γ = 90.00°
Atoms (fractional coordinates):
Pr: 0.2087 0.2087 0.4174
Zn: 0.3760 0.6173 0.7519
Zn: 0.6240 0.3827 0.2481
Pr: 0.0000 0.5000 0.0000
Pr: 0.7913 0.7913 0.5826
Zn: 0.3760 0.1346 0.7519
Zn: 0.6240 0.8654 0.2481
Ga: 0.5000 0.0000 0.0000


Question: Which value of total magnetization does entry 4 give?
Answer: 0.00 μB/f.u.